Material: TlCoNO2
Method: DFT, GGA+U
State: relaxed

Total magnetization, μB/atom: 0.819
DFT total energy, eV per atom: -3.97
Density, g cm⁻³: 6.7

Unit cell a=4.2541 b=4.2541 c=4.2323 alpha=90.00 beta=90.00 gamma=90.00
With the nearest neighbours (Å) after each atom.
Fractional positions:
O  0.0000  0.5000  0.0000  2 Tl 2.13
Co  0.5000  0.5000  0.5000  8 O 3.00, 4 N 3.01
O  0.5000  0.0000  0.0000  2 Tl 2.13
Tl  0.0000  0.0000  0.0000  2 N 2.12, 4 O 2.13
N  0.0000  0.0000  0.5000  2 Tl 2.12